(1)
First-principles (PBE) data for crystalline Y2Si4Rh3 at its relaxed geometry, as listed in Alexandria.

abc: 5.6021 7.1650 7.8711
angles: 90.00 110.85 90.00
Atoms (fractional coordinates):
Y1 0.1061 0.5954 0.2123
Y2 0.8939 0.4046 0.7877
Y3 0.3939 0.0954 0.7877
Y4 0.6061 0.9046 0.2123
Si1 0.6867 0.7500 0.8734
Si2 0.8133 0.2500 0.1266
Si3 0.3133 0.2500 0.1266
Si4 0.1867 0.7500 0.8734
Si5 0.1804 0.9783 0.3609
Si6 0.8196 0.0217 0.6391
Si7 0.3196 0.4783 0.6391
Si8 0.6804 0.5217 0.3609
Rh1 0.0000 0.0000 0.0000
Rh2 0.5000 0.5000 0.0000
Rh3 0.5210 0.7500 0.5420
Rh4 0.9790 0.2500 0.4580
Rh5 0.4790 0.2500 0.4580
Rh6 0.0210 0.7500 0.5420

Output
V, Å³/f.u.: 147.6
SG: Cmce
Energy relative to the elements, uncorrected, meV/atom: -955.8
Electronic total energy, eV per atom: -7.253



(2)
First-principles (PBE) data for crystalline YSiRh2 at its relaxed geometry, as listed in Alexandria.

abc: 7.0863 7.0863 5.8195
angles: 52.49 52.49 90.00
Atoms (fractional coordinates):
Y1 0.0000 0.0000 0.0000
Y2 0.7500 0.2500 0.5000
Si1 0.5000 0.5000 0.0000
Si2 0.2500 0.7500 0.5000
Rh1 0.5491 0.1250 0.2500
Rh2 0.2009 0.6250 0.2500
Rh3 0.3750 0.4509 0.7500
Rh4 0.8750 0.7991 0.7500

Output
V, Å³/f.u.: 74.3
SG: I-42d
Energy relative to the elements, uncorrected, meV/atom: -613.6
Electronic total energy, eV per atom: -7.261



(3)
First-principles (PBE) data for crystalline Y2SiRh2 at its relaxed geometry, as listed in Alexandria.

abc: 6.6284 6.6284 4.4396
angles: 90.00 90.00 90.00
Atoms (fractional coordinates):
Y1 0.1741 0.6741 0.5000
Y2 0.6741 0.8259 0.5000
Y3 0.8259 0.3259 0.5000
Y4 0.3259 0.1741 0.5000
Si1 0.0000 0.0000 0.0000
Si2 0.5000 0.5000 0.0000
Rh1 0.3547 0.8547 0.0000
Rh2 0.8547 0.6453 0.0000
Rh3 0.6453 0.1453 0.0000
Rh4 0.1453 0.3547 0.0000

Output
V, Å³/f.u.: 97.5
SG: P4/mbm
Energy relative to the elements, uncorrected, meV/atom: -740.9
Electronic total energy, eV per atom: -7.352